Record 1
The following is a DFT calculation (GGA-PBE) of Na2ErBiTe4 after structural relaxation.

Properties
* E: -3.8741 eV per atom
* ΔE_f (raw): -918.1 meV per atom

```
data_Na2ErBiTe4
_chemical_formula_sum 'Na2 Er1 Bi1 Te4'
_cell_length_a 7.7623
_cell_length_b 4.4444
_cell_length_c 8.0117
_cell_angle_alpha 90.00
_cell_angle_beta 108.57
_cell_angle_gamma 90.00
_space_group_name_H-M_alt 'P 1 2/m 1'
_space_group_IT_number 10
loop_
_space_group_symop_operation_xyz
'x,y,z'
'-x,-y,-z'
'-x,y,-z'
'x,-y,z'
loop_
_atom_site_label
_atom_site_fract_x
_atom_site_fract_y
_atom_site_fract_z
Na1 0.0000 0.0000 0.0000
Na2 0.5000 0.5000 0.0000
Er1 0.0000 0.5000 0.5000
Bi1 0.5000 0.0000 0.5000
Te1 0.2378 0.0000 0.7303
Te2 0.2485 0.5000 0.2653
```

Record 2
The following is a DFT calculation (GGA-PBE) of NaErTlBi after structural relaxation.

Properties
* N(E_F): 3.0 states/eV/f.u.
* E: -3.3041 eV per atom
* calculated formation energy: -1.09 eV/f.u.

```
data_NaErTlBi
_chemical_formula_sum 'Na4 Er4 Tl4 Bi4'
_cell_length_a 7.6801
_cell_length_b 7.6801
_cell_length_c 7.6801
_cell_angle_alpha 90.00
_cell_angle_beta 90.00
_cell_angle_gamma 90.00
_space_group_name_H-M_alt 'F -4 3 m'
_space_group_IT_number 216
_space_group_name_Hall 'F -4 2 3'
loop_
_atom_site_label
_atom_site_fract_x
_atom_site_fract_y
_atom_site_fract_z
Na1 0.0000 0.0000 0.0000
Er1 0.0000 0.0000 0.5000
Tl1 0.2500 0.2500 0.7500
Bi1 0.2500 0.2500 0.2500
```

Record 3
The following is a DFT calculation (GGA-PBE) of Nd3ErBi4 after structural relaxation.

Properties
* N(E_F): 0.5 states/eV/f.u.
* E: -5.2077 eV per atom
* calculated formation energy: -7.27 eV/f.u.

```
data_Nd3ErBi4
_chemical_formula_sum 'Nd3 Er1 Bi4'
_cell_length_a 6.4624
_cell_length_b 6.4624
_cell_length_c 6.4624
_cell_angle_alpha 90.00
_cell_angle_beta 90.00
_cell_angle_gamma 90.00
_space_group_name_H-M_alt 'P m -3 m'
_space_group_IT_number 221
_space_group_name_Hall '-P 4 2 3'
loop_
_atom_site_label
_atom_site_fract_x
_atom_site_fract_y
_atom_site_fract_z
Nd1 0.0000 0.0000 0.5000
Er1 0.5000 0.5000 0.5000
Bi1 0.0000 0.0000 0.0000
Bi2 0.0000 0.5000 0.5000
```

Record 4
The following is a DFT calculation (GGA-PBE) of Nd3Er5Bi8 after structural relaxation.

Properties
* N(E_F): 3.0 states/eV/f.u.
* E: -5.1178 eV per atom
* calculated formation energy: -13.72 eV/f.u.

```
data_Nd3Er5Bi8
_chemical_formula_sum 'Nd9 Er15 Bi24'
_cell_length_a 9.0238
_cell_length_b 9.0238
_cell_length_c 22.0765
_cell_angle_alpha 90.00
_cell_angle_beta 90.00
_cell_angle_gamma 120.00
_space_group_name_H-M_alt 'R -3 m'
_space_group_IT_number 166
_space_group_name_Hall '-R 3 2"'
loop_
_atom_site_label
_atom_site_fract_x
_atom_site_fract_y
_atom_site_fract_z
Nd1 0.0000 0.5000 0.0000
Er1 0.0000 0.0000 0.0000
Er2 0.0000 0.0000 0.5000
Er3 0.0000 0.5000 0.5000
Bi1 0.0000 0.0000 0.2463
Bi2 0.0049 0.5025 0.7525
```

Record 5
The following is a DFT calculation (GGA-PBE) of NdEr2Bi after structural relaxation.

Properties
* energy above the lowest structure with this stoichiometry: 0.000 eV per atom
* N(E_F): 5.8 states/eV/f.u.
* E: -4.9077 eV per atom
* calculated formation energy: -1.86 eV/f.u.

```
data_NdEr2Bi
_chemical_formula_sum 'Nd4 Er8 Bi4'
_cell_length_a 4.6623
_cell_length_b 23.0243
_cell_length_c 4.6504
_cell_angle_alpha 90.00
_cell_angle_beta 90.00
_cell_angle_gamma 90.00
_space_group_name_H-M_alt 'C m c m'
_space_group_IT_number 63
_space_group_name_Hall '-C 2c 2'
loop_
_atom_site_label
_atom_site_fract_x
_atom_site_fract_y
_atom_site_fract_z
Nd1 0.0000 0.1934 0.2500
Er1 0.0000 0.0566 0.7500
Er2 0.0000 0.4421 0.7500
Bi1 0.0000 0.3375 0.2500
```

Record 6
The following is a DFT calculation (GGA-PBE) of Nd4ErBi5 after structural relaxation.

Properties
* N(E_F): 1.2 states/eV/f.u.
* E: -5.2203 eV per atom
* calculated formation energy: -9.16 eV/f.u.

```
data_Nd4ErBi5
_chemical_formula_sum 'Nd8 Er2 Bi10'
_cell_length_a 4.5816
_cell_length_b 4.5816
_cell_length_c 32.3450
_cell_angle_alpha 90.00
_cell_angle_beta 90.00
_cell_angle_gamma 90.00
_space_group_name_H-M_alt 'I 4/m m m'
_space_group_IT_number 139
_space_group_name_Hall '-I 4 2'
loop_
_atom_site_label
_atom_site_fract_x
_atom_site_fract_y
_atom_site_fract_z
Nd1 0.0000 0.0000 0.0995
Nd2 0.0000 0.0000 0.3010
Er1 0.0000 0.0000 0.5000
Bi1 0.0000 0.0000 0.0000
Bi2 0.0000 0.0000 0.2001
Bi3 0.0000 0.0000 0.4022
```

Record 7
The following is a DFT calculation (GGA-PBE) of Nd3ErBi4 after structural relaxation.

Properties
* N(E_F): 1.2 states/eV/f.u.
* E: -5.2081 eV per atom
* calculated formation energy: -7.27 eV/f.u.

```
data_Nd3ErBi4
_chemical_formula_sum 'Nd6 Er2 Bi8'
_cell_length_a 9.1369
_cell_length_b 12.9265
_cell_length_c 4.5740
_cell_angle_alpha 90.00
_cell_angle_beta 90.00
_cell_angle_gamma 90.00
_space_group_name_H-M_alt 'C m m m'
_space_group_IT_number 65
_space_group_name_Hall '-C 2 2'
loop_
_atom_site_label
_atom_site_fract_x
_atom_site_fract_y
_atom_site_fract_z
Nd1 0.0000 0.0000 0.0000
Nd2 0.2500 0.2500 0.5000
Er1 0.0000 0.5000 0.0000
Bi1 0.0000 0.2537 0.0000
Bi2 0.2428 0.5000 0.5000
```

Record 8
The following is a DFT calculation (GGA-PBE) of NdEr2Bi after structural relaxation.

Properties
* energy above the lowest structure with this stoichiometry: 0.135 eV per atom
* N(E_F): 4.0 states/eV/f.u.
* E: -4.7728 eV per atom
* calculated formation energy: -1.32 eV/f.u.

```
data_NdEr2Bi
_chemical_formula_sum 'Nd1 Er2 Bi1'
_cell_length_a 4.0289
_cell_length_b 4.0289
_cell_length_c 7.4801
_cell_angle_alpha 90.00
_cell_angle_beta 90.00
_cell_angle_gamma 90.00
_space_group_name_H-M_alt 'P 4/m m m'
_space_group_IT_number 123
_space_group_name_Hall '-P 4 2'
loop_
_atom_site_label
_atom_site_fract_x
_atom_site_fract_y
_atom_site_fract_z
Nd1 0.0000 0.0000 0.0000
Er1 0.5000 0.5000 0.2755
Bi1 0.0000 0.0000 0.5000
```